Computed, not measured: crystalline Mn2BeO at its relaxed geometry at the PBE+U level of DFT.

The magnetic moment comes out at 9.47 μB/f.u. The polymorph energy (0 for the lowest one) is 0.0 meV per atom.

The structure belongs to space group I-42d (No. 122); the cell edges are 5.9867, 5.9867 and 6.7115 Å and the angles 90.00°, 90.00° and 90.00°. Symmetry generates all atoms from Mn at (0.1934, 0.2500, 0.1250), Be at (0.0000, 0.0000, 0.5000) and O at (0.0000, 0.0000, 0.0000).